[1]
VASP calculation (GGA-PBE) on Nb2AgPdPt after structural relaxation.

Cell: 4.7773 4.8191 4.7773 Å, 90.00 90.00 90.00°
Element x y z (fractional)
Nb: 0.5000 0.0000 0.0000
Nb: 0.0000 0.0000 0.5000
Pt: 0.5000 0.5000 0.5000
Ag: 0.0000 0.5000 0.0000
Pd: 0.0000 0.0000 0.0000

**ΔH_f (0 K)**: 1201 meV/atom
**Space group**: P4/mmm (123)
**Total magnetization**: 0.00 μB per cell
**Density**: 9.0 g cm⁻³

[2]
VASP calculation (GGA-PBE) on Nb2Ag2PdS6 after structural relaxation.

Cell: 6.2252 6.2252 7.1073 Å, 97.91 97.91 123.65°
Element x y z (fractional)
Pd: 0.0000 0.0000 0.5000
S: 0.7712 0.7712 0.7380
S: 0.2288 0.2288 0.2620
S: 0.9385 0.5744 0.2927
S: 0.4256 0.0615 0.7073
S: 0.0615 0.4256 0.7073
S: 0.5744 0.9385 0.2927
Ag: 0.8163 0.1837 0.0000
Ag: 0.1837 0.8163 0.0000
Nb: 0.6353 0.3647 0.5000
Nb: 0.3647 0.6353 0.5000

**Space group**: C2/m (12)
**Energy relative to the elements, uncorrected**: -473 meV/atom
**Total magnetization**: 0.00 μB per cell
**Density**: 5.3 g cm⁻³

[3]
VASP calculation (GGA-PBE) on NbAg2PdS after structural relaxation.

Cell: 4.9732 4.9732 4.8055 Å, 90.00 90.00 90.00°
Element x y z (fractional)
Ag: 0.5000 0.0000 0.0000
Ag: 0.0000 0.5000 0.0000
Pd: 0.0000 0.0000 0.0000
Nb: 0.0000 0.0000 0.5000
S: 0.5000 0.5000 0.5000

**Space group**: P4/mmm (123)
**Energy relative to the elements, uncorrected**: 1055 meV/atom
**Total magnetization**: 0.00 μB per cell
**Density**: 6.2 g cm⁻³

[4]
VASP calculation (GGA-PBE) on NbSi2AgPd after structural relaxation.

Cell: 4.5205 5.1129 4.5205 Å, 90.00 90.00 90.00°
Element x y z (fractional)
Nb: 0.0000 0.5000 0.0000
Si: 0.0000 0.0000 0.5000
Si: 0.5000 0.0000 0.0000
Ag: 0.5000 0.5000 0.5000
Pd: 0.0000 0.0000 0.0000

**Space group**: P4/mmm (123)
**Energy relative to the elements, uncorrected**: 877 meV/atom
**Total magnetization**: 0.00 μB per cell
**Density**: 5.8 g cm⁻³